[1]
The following is a PBE calculation of a geometry-optimized NiAsS2 structure, from the Alexandria database.

Properties
**Crystal system**: tetragonal
**Spin magnetization**: 0.0000 μB/atom
**Volume**: 159.2 Å³ per cell
**N(E_F)**: 5.7 states/eV/cell
**Uncorrected formation energy**: -0.008 eV per atom

a b c (Å): 5.5291 5.5291 6.5131
angles (deg): 64.88 64.88 90.00
Closest atoms and distances in Å follow each position.
Positions (direct):
Ni: 0.5000 0.5000 0.0000  4 S 2.19
Ni: 0.2500 0.7500 0.5000  4 S 2.19
As: 0.0000 0.0000 0.0000  4 S 2.53
As: 0.7500 0.2500 0.5000  4 S 2.53
S: 0.5729 0.1250 0.2500  2 Ni 2.19
S: 0.1771 0.6250 0.2500  2 Ni 2.19
S: 0.3750 0.4271 0.7500  2 Ni 2.19
S: 0.8750 0.8229 0.7500  2 Ni 2.19

=====

[2]
The following is a PBE calculation of a geometry-optimized LaMn2Br structure, from the Alexandria database.

Properties
**Crystal system**: cubic
**Spin magnetization**: 2.0002 μB/atom
**Volume**: 93.9 Å³ per cell
**N(E_F)**: 4.1 states/eV/cell
**Uncorrected formation energy**: 0.539 eV per atom
**Relative energy among the computed polymorphs**: 14.19 kcal/mol of atoms

a b c (Å): 5.1017 5.1017 5.1017
angles (deg): 60.00 60.00 60.00
Closest atoms and distances in Å follow each position.
Positions (direct):
Mn: 0.2500 0.2500 0.2500  4 La 3.12, 4 Br 3.12
Mn: 0.7500 0.7500 0.7500  4 Br 3.12, 4 La 3.12
Br: 0.0000 0.0000 0.0000  8 Mn 3.12
La: 0.5000 0.5000 0.5000  8 Mn 3.12

=====

[3]
The following is a PBE calculation of a geometry-optimized Ac2ScAg structure, from the Alexandria database.

Properties
**Crystal system**: tetragonal
**Spin magnetization**: 0.0000 μB/atom
**Volume**: 131.8 Å³ per cell
**ΔE_f**: -0.21 eV/f.u.
**N(E_F)**: 4.9 states/eV/cell
**Relative energy among the computed polymorphs**: 0.00 kcal/mol of atoms

a b c (Å): 3.9936 3.9936 8.2640
angles (deg): 90.00 90.00 90.00
Closest atoms and distances in Å follow each position.
Positions (direct):
Sc: 0.5000 0.5000 0.5000  8 Ac 3.56
Ac: 0.0000 0.0000 0.7629  4 Ag 3.44, 4 Sc 3.56
Ac: 0.0000 0.0000 0.2371  4 Ag 3.44, 4 Sc 3.56
Ag: 0.5000 0.5000 0.0000  8 Ac 3.44

=====

[4]
The following is a PBE calculation of a geometry-optimized AcPm6Al structure, from the Alexandria database.

Properties
**Crystal system**: tetragonal
**Spin magnetization**: 0.0000 μB/atom
**Volume**: 261.2 Å³ per cell
**ΔE_f**: -0.28 eV/f.u.
**N(E_F)**: 10.0 states/eV/cell

a b c (Å): 5.0219 5.0219 10.3588
angles (deg): 90.00 90.00 90.00
Closest atoms and distances in Å follow each position.
Positions (direct):
Ac: 0.0000 0.0000 0.0000  12 Pm 3.55-3.75
Pm: 0.5000 0.5000 0.0000  4 Ac 3.55, 8 Pm 3.75
Pm: 0.5000 0.5000 0.5000  8 Pm 3.47, 4 Al 3.55
Pm: 0.5000 0.0000 0.2690  2 Al 3.47, 8 Pm 3.47-3.75, 2 Ac 3.75
Pm: 0.5000 0.0000 0.7310  2 Al 3.47, 8 Pm 3.47-3.75, 2 Ac 3.75
Pm: 0.0000 0.5000 0.2690  2 Al 3.47, 8 Pm 3.47-3.75, 2 Ac 3.75
Pm: 0.0000 0.5000 0.7310  2 Al 3.47, 8 Pm 3.47-3.75, 2 Ac 3.75
Al: 0.0000 0.0000 0.5000  12 Pm 3.47-3.55

=====

[5]
The following is a PBE calculation of a geometry-optimized Pr2Er3Tl4 structure, from the Alexandria database.

Properties
**Crystal system**: orthorhombic
**Spin magnetization**: 0.0000 μB/atom
**Volume**: 543.3 Å³ per cell
**ΔE_f**: -2.27 eV/f.u.
**N(E_F)**: 17.1 states/eV/cell

a b c (Å): 7.1292 9.0027 9.1846
angles (deg): 90.00 112.84 90.00
Closest atoms and distances in Å follow each position.
Positions (direct):
Pr: 0.1079 0.5793 0.2159  8 Tl 3.42-3.79, 2 Er 3.76
Pr: 0.8921 0.4207 0.7841  8 Tl 3.42-3.79, 2 Er 3.76
Pr: 0.3921 0.0793 0.7841  8 Tl 3.42-3.79, 2 Er 3.76
Pr: 0.6079 0.9207 0.2159  8 Tl 3.42-3.79, 2 Er 3.76
Er: 0.0000 0.0000 0.0000  6 Tl 2.95-3.10
Er: 0.5000 0.5000 0.0000  6 Tl 2.95-3.10
Er: 0.5314 0.7500 0.5628  5 Tl 3.04-3.24
Er: 0.9686 0.2500 0.4372  5 Tl 3.04-3.24
Er: 0.4686 0.2500 0.4372  5 Tl 3.04-3.24
Er: 0.0314 0.7500 0.5628  5 Tl 3.04-3.24
Tl: 0.7110 0.7500 0.9220  3 Er 2.95-3.04
Tl: 0.7890 0.2500 0.0780  3 Er 2.95-3.04
Tl: 0.2890 0.2500 0.0780  3 Er 2.95-3.04
Tl: 0.2110 0.7500 0.9220  3 Er 2.95-3.04
Tl: 0.1820 0.9572 0.3639  5 Er 3.08-3.24
Tl: 0.8180 0.0428 0.6361  5 Er 3.08-3.24
Tl: 0.3180 0.4572 0.6361  5 Er 3.08-3.24
Tl: 0.6820 0.5428 0.3639  5 Er 3.08-3.24

=====

[6]
The following is a PBE calculation of a geometry-optimized Sm2GdAg structure, from the Alexandria database.

Properties
**Crystal system**: trigonal
**Spin magnetization**: 1.8116 μB/atom
**Volume**: 120.0 Å³ per cell
**ΔE_f**: -0.02 eV/f.u.
**N(E_F)**: 4.8 states/eV/cell
**Relative energy among the computed polymorphs**: 2.34 kcal/mol of atoms

a b c (Å): 3.6036 3.6036 10.8738
angles (deg): 80.46 80.46 60.00
Closest atoms and distances in Å follow each position.
Positions (direct):
Gd: 0.5000 0.5000 0.5000  6 Sm 3.60, 6 Gd 3.60
Ag: 0.0000 0.0000 0.0000  6 Sm 3.17
Sm: 0.2584 0.2584 0.2247  3 Ag 3.17
Sm: 0.7416 0.7416 0.7753  3 Ag 3.17

=====

[7]
The following is a PBE calculation of a geometry-optimized Dy3Ga2Ni3 structure, from the Alexandria database.

Properties
**Crystal system**: orthorhombic
**Spin magnetization**: 0.0000 μB/atom
**Volume**: 299.6 Å³ per cell
**ΔE_f**: -4.49 eV/f.u.
**N(E_F)**: 12.8 states/eV/cell

a b c (Å): 4.1314 5.7185 13.6016
angles (deg): 90.00 90.00 111.18
Closest atoms and distances in Å follow each position.
Positions (direct):
Dy: 0.9211 0.8421 0.3919  6 Ni 2.90-3.00, 4 Ga 3.03-3.15
Dy: 0.0789 0.1579 0.8919  6 Ni 2.90-3.00, 4 Ga 3.03-3.15
Dy: 0.9211 0.8421 0.1081  6 Ni 2.90-3.00, 4 Ga 3.03-3.15
Dy: 0.0789 0.1579 0.6081  6 Ni 2.90-3.00, 4 Ga 3.03-3.15
Dy: 0.6385 0.2769 0.2500  4 Ni 2.87-2.94, 4 Ga 3.12
Dy: 0.3615 0.7231 0.7500  4 Ni 2.87-2.94, 4 Ga 3.12
Ga: 0.7847 0.5694 0.9112  4 Ni 2.47-2.60
Ga: 0.2153 0.4306 0.4112  4 Ni 2.47-2.60
Ga: 0.7847 0.5694 0.5888  4 Ni 2.47-2.60
Ga: 0.2153 0.4306 0.0888  4 Ni 2.47-2.60
Ni: 0.6052 0.2105 0.4597  3 Ga 2.47-2.60, 1 Ni 2.50
Ni: 0.3948 0.7895 0.9597  3 Ga 2.47-2.60, 1 Ni 2.50
Ni: 0.6052 0.2105 0.0403  3 Ga 2.47-2.60, 1 Ni 2.50
Ni: 0.3948 0.7895 0.5403  3 Ga 2.47-2.60, 1 Ni 2.50
Ni: 0.3352 0.6704 0.2500  2 Ga 2.54
Ni: 0.6648 0.3296 0.7500  2 Ga 2.54

=====

[8]
The following is a PBE calculation of a geometry-optimized NpTc2P structure, from the Alexandria database.

Properties
**Crystal system**: tetragonal
**Spin magnetization**: 0.0009 μB/atom
**Volume**: 60.5 Å³ per cell
**ΔE_f**: 0.04 eV/f.u.
**N(E_F)**: 4.9 states/eV/cell

a b c (Å): 2.9570 2.9570 6.9245
angles (deg): 90.00 90.00 90.00
Closest atoms and distances in Å follow each position.
Positions (direct):
Np: 0.5000 0.5000 0.5000  8 Tc 2.93, 4 Np 2.96
P: 0.5000 0.5000 0.0000  8 Tc 2.53
Tc: 0.0000 0.0000 0.7955  4 P 2.53
Tc: 0.0000 0.0000 0.2045  4 P 2.53

=====

Q: Look up the spin magnetization of the fifth one.
A: 0.0000 μB/atom